Record 1
Entry from Alexandria: a geometry-optimized Te2AsI structure (PBE).

CIF file:
```
data_Te2AsI
_chemical_formula_sum 'Te8 As4 I4'
_symmetry_space_group_name_H-M 'F m -3 m'
_symmetry_Int_Tables_number 225
_symmetry_space_group_name_Hall '-F 4 2 3'
_cell_length_a 7.592
_cell_length_b 7.592
_cell_length_c 7.592
_cell_angle_alpha 90.00
_cell_angle_beta 90.00
_cell_angle_gamma 90.00
loop_
_atom_site_label
_atom_site_type_symbol
_atom_site_fract_x
_atom_site_fract_y
_atom_site_fract_z
Te1 Te 0.250 0.250 0.250
As1 As 0.000 0.000 0.000
I1 I 0.000 0.000 0.500
```

Output
DOS at the Fermi energy   3.02 states/eV/f.u.
Excess energy over the best structure of this formula in the dataset   514.6 meV per atom
E_form (uncorrected)   0.53 eV/atom
Total moment   0.000 μB/atom
Crystal system   cubic

***

Record 2
Entry from Alexandria: a geometry-optimized Ca2ZrI structure (PBE).

CIF file:
```
data_Ca2ZrI
_chemical_formula_sum 'Ca8 Zr4 I4'
_symmetry_space_group_name_H-M 'I -4 2 d'
_symmetry_Int_Tables_number 122
_symmetry_space_group_name_Hall 'I -4 2bw'
_cell_length_a 8.961
_cell_length_b 8.961
_cell_length_c 6.496
_cell_angle_alpha 90.00
_cell_angle_beta 90.00
_cell_angle_gamma 90.00
loop_
_atom_site_label
_atom_site_type_symbol
_atom_site_fract_x
_atom_site_fract_y
_atom_site_fract_z
Ca1 Ca 0.216 0.250 0.125
Zr1 Zr 0.000 0.000 0.500
I1 I 0.000 0.000 0.000
```

Output
DOS at the Fermi energy   6.94 states/eV/f.u.
Excess energy over the best structure of this formula in the dataset   0.0 meV per atom
E_form (uncorrected)   0.27 eV/atom
Total moment   0.000 μB/atom
Crystal system   tetragonal

***

Record 3
Entry from Alexandria: a geometry-optimized Pu7IrRu4 structure (PBE).

CIF file:
```
data_Pu7IrRu4
_chemical_formula_sum 'Pu14 Ir2 Ru8'
_symmetry_space_group_name_H-M 'C 1 2/m 1'
_symmetry_Int_Tables_number 12
_cell_length_a 11.457
_cell_length_b 5.160
_cell_length_c 8.942
_cell_angle_alpha 90.00
_cell_angle_beta 107.33
_cell_angle_gamma 90.00
loop_
_symmetry_equiv_pos_as_xyz
'x,y,z'
'-x,-y,-z'
'-x,y,-z'
'x,-y,z'
'x+1/2,y+1/2,z'
'-x+1/2,-y+1/2,-z'
'-x+1/2,y+1/2,-z'
'x+1/2,-y+1/2,z'
loop_
_atom_site_label
_atom_site_type_symbol
_atom_site_fract_x
_atom_site_fract_y
_atom_site_fract_z
Pu1 Pu 0.000 0.000 0.000
Pu2 Pu 0.046 0.500 0.693
Pu3 Pu 0.241 0.000 0.900
Pu4 Pu 0.248 0.500 0.412
Ir1 Ir 0.000 0.500 0.000
Ru1 Ru 0.008 0.000 0.359
Ru2 Ru 0.201 0.000 0.233
```

Output
DOS at the Fermi energy   39.29 states/eV/f.u.
Uncorrected energy   -146.5 eV per formula unit
Total moment   1.304 μB/atom
Crystal system   monoclinic

***

Record 4
Entry from Alexandria: a geometry-optimized Tm3BP2Rh9 structure (PBE).

CIF file:
```
data_Tm3BP2Rh9
_chemical_formula_sum 'Tm3 B1 P2 Rh9'
_symmetry_space_group_name_H-M 'P -3 m 1'
_symmetry_Int_Tables_number 164
_symmetry_space_group_name_Hall '-P 3 2"'
_cell_length_a 6.2106
_cell_length_b 6.2106
_cell_length_c 7.3450
_cell_angle_alpha 90.00
_cell_angle_beta 90.00
_cell_angle_gamma 120.00
loop_
_atom_site_label
_atom_site_type_symbol
_atom_site_fract_x
_atom_site_fract_y
_atom_site_fract_z
Tm1 Tm 0.0000 0.0000 0.0000
Tm2 Tm 0.3333 0.6667 0.6618
B1 B 0.0000 0.0000 0.5000
P1 P 0.3333 0.6667 0.1849
Rh1 Rh 0.0000 0.5000 0.0000
Rh2 Rh 0.1557 0.3114 0.3345
```

Output
DOS at the Fermi energy   5.73 states/eV/f.u.
Uncorrected energy   -108.9 eV per formula unit
Total moment   0.000 μB/atom
Crystal system   trigonal

***

Record 5
Entry from Alexandria: a geometry-optimized AcSnHg2 structure (PBE).

CIF file:
```
data_AcSnHg2
_chemical_formula_sum 'Ac4 Sn4 Hg8'
_symmetry_space_group_name_H-M 'F m -3 m'
_symmetry_Int_Tables_number 225
_symmetry_space_group_name_Hall '-F 4 2 3'
_cell_length_a 7.705
_cell_length_b 7.705
_cell_length_c 7.705
_cell_angle_alpha 90.00
_cell_angle_beta 90.00
_cell_angle_gamma 90.00
loop_
_atom_site_label
_atom_site_type_symbol
_atom_site_fract_x
_atom_site_fract_y
_atom_site_fract_z
Ac1 Ac 0.000 0.000 0.000
Sn1 Sn 0.000 0.000 0.500
Hg1 Hg 0.250 0.250 0.250
```

Output
DOS at the Fermi energy   3.13 states/eV/f.u.
Uncorrected energy   -10.5 eV per formula unit
Total moment   0.000 μB/atom
Crystal system   cubic

***

Record 6
Entry from Alexandria: a geometry-optimized BaCd2Ag3 structure (PBE).

CIF file:
```
data_BaCd2Ag3
_chemical_formula_sum 'Ba1 Cd2 Ag3'
_symmetry_space_group_name_H-M 'P 6/m m m'
_symmetry_Int_Tables_number 191
_symmetry_space_group_name_Hall '-P 6 2'
_cell_length_a 6.0504
_cell_length_b 6.0504
_cell_length_c 4.7055
_cell_angle_alpha 90.00
_cell_angle_beta 90.00
_cell_angle_gamma 120.00
loop_
_atom_site_label
_atom_site_type_symbol
_atom_site_fract_x
_atom_site_fract_y
_atom_site_fract_z
Ba1 Ba 0.0000 0.0000 0.0000
Cd1 Cd 0.3333 0.6667 0.0000
Ag1 Ag 0.0000 0.5000 0.5000
```

Output
DOS at the Fermi energy   2.12 states/eV/f.u.
Excess energy over the best structure of this formula in the dataset   0.0 meV per atom
Total moment   0.000 μB/atom
Crystal system   hexagonal

***

Record 7
Entry from Alexandria: a geometry-optimized PaTiCuO6 structure (PBE).

CIF file:
```
data_PaTiCuO6
_chemical_formula_sum 'Pa2 Ti2 Cu2 O12'
_symmetry_space_group_name_H-M 'P 42 n m'
_symmetry_Int_Tables_number 102
_cell_length_a 4.937
_cell_length_b 4.937
_cell_length_c 9.243
_cell_angle_alpha 90.00
_cell_angle_beta 90.00
_cell_angle_gamma 90.00
loop_
_symmetry_equiv_pos_as_xyz
'x,y,z'
'-y+1/2,x+1/2,z+1/2'
'-x,-y,z'
'y+1/2,-x+1/2,z+1/2'
'-x+1/2,y+1/2,z+1/2'
'y,x,z'
'x+1/2,-y+1/2,z+1/2'
'-y,-x,z'
loop_
_atom_site_label
_atom_site_type_symbol
_atom_site_fract_x
_atom_site_fract_y
_atom_site_fract_z
Pa1 Pa 0.000 0.000 0.000
Ti1 Ti 0.000 0.000 0.665
Cu1 Cu 0.000 0.000 0.333
O1 O 0.176 0.176 0.491
O2 O 0.181 0.181 0.813
O3 O 0.197 0.197 0.176
```

Output
DOS at the Fermi energy   1.79 states/eV/f.u.
E_form (uncorrected)   -2.39 eV/atom
Total moment   0.000 μB/atom
Crystal system   tetragonal

***

Record 8
Entry from Alexandria: a geometry-optimized K2RbHgF structure (PBE).

CIF file:
```
data_K2RbHgF
_chemical_formula_sum 'K2 Rb1 Hg1 F1'
_symmetry_space_group_name_H-M 'P 4/m m m'
_symmetry_Int_Tables_number 123
_symmetry_space_group_name_Hall '-P 4 2'
_cell_length_a 6.703
_cell_length_b 6.703
_cell_length_c 5.772
_cell_angle_alpha 90.00
_cell_angle_beta 90.00
_cell_angle_gamma 90.00
loop_
_atom_site_label
_atom_site_type_symbol
_atom_site_fract_x
_atom_site_fract_y
_atom_site_fract_z
K1 K 0.000 0.500 0.000
Rb1 Rb 0.000 0.000 0.500
Hg1 Hg 0.500 0.500 0.000
F1 F 0.500 0.500 0.500
```

Output
DOS at the Fermi energy   1.10 states/eV/f.u.
Excess energy over the best structure of this formula in the dataset   527.9 meV per atom
E_form (uncorrected)   -0.59 eV/atom
Total moment   0.000 μB/atom
Crystal system   tetragonal

***

Record 9
Entry from Alexandria: a geometry-optimized YErTlCu structure (PBE).

CIF file:
```
data_YErTlCu
_chemical_formula_sum 'Y4 Er4 Tl4 Cu4'
_symmetry_space_group_name_H-M 'F -4 3 m'
_symmetry_Int_Tables_number 216
_symmetry_space_group_name_Hall 'F -4 2 3'
_cell_length_a 7.297
_cell_length_b 7.297
_cell_length_c 7.297
_cell_angle_alpha 90.00
_cell_angle_beta 90.00
_cell_angle_gamma 90.00
loop_
_atom_site_label
_atom_site_type_symbol
_atom_site_fract_x
_atom_site_fract_y
_atom_site_fract_z
Y1 Y 0.000 0.000 0.000
Er1 Er 0.000 0.000 0.500
Tl1 Tl 0.250 0.250 0.250
Cu1 Cu 0.250 0.250 0.750
```

Output
DOS at the Fermi energy   2.82 states/eV/f.u.
Uncorrected energy   -18.5 eV per formula unit
Total moment   0.000 μB/atom
Crystal system   cubic

***

Record 10
Entry from Alexandria: a geometry-optimized La2NdDyEr5 structure (PBE).

CIF file:
```
data_La2NdDyEr5
_chemical_formula_sum 'La8 Nd4 Dy4 Er20'
_symmetry_space_group_name_H-M 'I 4/m c m'
_symmetry_Int_Tables_number 140
_symmetry_space_group_name_Hall '-I 4 2c'
_cell_length_a 8.608
_cell_length_b 8.608
_cell_length_c 15.812
_cell_angle_alpha 90.00
_cell_angle_beta 90.00
_cell_angle_gamma 90.00
loop_
_atom_site_label
_atom_site_type_symbol
_atom_site_fract_x
_atom_site_fract_y
_atom_site_fract_z
La1 La 0.118 0.382 0.000
Nd1 Nd 0.000 0.500 0.250
Dy1 Dy 0.000 0.000 0.250
Er1 Er 0.000 0.000 0.000
Er2 Er 0.214 0.286 0.358
```

Output
DOS at the Fermi energy   11.62 states/eV/f.u.
Uncorrected energy   -39.8 eV per formula unit
Total moment   0.000 μB/atom
Crystal system   tetragonal

***

Record 11
Entry from Alexandria: a geometry-optimized Hf4NbAl2 structure (PBE).

CIF file:
```
data_Hf4NbAl2
_chemical_formula_sum 'Hf8 Nb2 Al4'
_symmetry_space_group_name_H-M 'I 4/m m m'
_symmetry_Int_Tables_number 139
_symmetry_space_group_name_Hall '-I 4 2'
_cell_length_a 5.036
_cell_length_b 5.036
_cell_length_c 13.691
_cell_angle_alpha 90.00
_cell_angle_beta 90.00
_cell_angle_gamma 90.00
loop_
_atom_site_label
_atom_site_type_symbol
_atom_site_fract_x
_atom_site_fract_y
_atom_site_fract_z
Hf1 Hf 0.000 0.000 0.188
Hf2 Hf 0.000 0.500 0.000
Nb1 Nb 0.000 0.000 0.000
Al1 Al 0.000 0.000 0.389
```

Output
DOS at the Fermi energy   4.73 states/eV/f.u.
Excess energy over the best structure of this formula in the dataset   892.3 meV per atom
Total moment   0.000 μB/atom
Crystal system   tetragonal

***

Record 12
Entry from Alexandria: a geometry-optimized Na5Np2Cl12 structure (PBE).

CIF file:
```
data_Na5Np2Cl12
_chemical_formula_sum 'Na10 Np4 Cl24'
_symmetry_space_group_name_H-M 'C 1 2/m 1'
_symmetry_Int_Tables_number 12
_cell_length_a 15.053
_cell_length_b 7.950
_cell_length_c 10.665
_cell_angle_alpha 90.00
_cell_angle_beta 111.74
_cell_angle_gamma 90.00
loop_
_symmetry_equiv_pos_as_xyz
'x,y,z'
'-x,-y,-z'
'-x,y,-z'
'x,-y,z'
'x+1/2,y+1/2,z'
'-x+1/2,-y+1/2,-z'
'-x+1/2,y+1/2,-z'
'x+1/2,-y+1/2,z'
loop_
_atom_site_label
_atom_site_type_symbol
_atom_site_fract_x
_atom_site_fract_y
_atom_site_fract_z
Na1 Na 0.000 0.000 0.000
Na2 Na 0.165 0.500 0.200
Na3 Na 0.227 0.500 0.918
Np1 Np 0.000 0.248 0.500
Cl1 Cl 0.022 0.500 0.338
Cl2 Cl 0.024 0.000 0.342
Cl3 Cl 0.134 0.250 0.022
Cl4 Cl 0.181 0.252 0.635
```

Output
DOS at the Fermi energy   12.94 states/eV/f.u.
E_form (uncorrected)   -1.67 eV/atom
Total moment   0.368 μB/atom
Crystal system   monoclinic